Computed, not measured: an optimized crystal structure of HoSi4Pt4 at the PBE level of DFT.

```
HoSi4Pt4
1.0
6.197 0.000 0.000
0.000 6.197 0.000
0.000 0.000 7.894
Ho Si Pt
2 8 8
Direct
0.250 0.750 0.250
0.750 0.250 0.750
0.031 0.250 0.066
0.250 0.031 0.566
0.250 0.469 0.566
0.469 0.250 0.066
0.531 0.750 0.934
0.750 0.531 0.434
0.750 0.969 0.434
0.969 0.750 0.934
0.026 0.250 0.372
0.250 0.026 0.872
0.250 0.474 0.872
0.474 0.250 0.372
0.526 0.750 0.628
0.750 0.526 0.128
0.750 0.974 0.128
0.974 0.750 0.628
```

E in eV per atom: -6.30
Space group: P4_2/nmc (137)

Computed, not measured: an optimized crystal structure of HoSi2Pt6 at the PBE level of DFT.

```
HoSi2Pt6
1.0
5.527 0.000 0.000
-2.763 4.786 0.000
0.000 0.000 6.397
Ho Si Pt
1 2 6
Direct
0.000 0.000 0.000
0.333 0.667 0.500
0.667 0.333 0.500
0.000 0.500 0.220
0.000 0.500 0.780
0.500 0.000 0.220
0.500 0.000 0.780
0.500 0.500 0.220
0.500 0.500 0.780
```

E in eV per atom: -6.55
Space group: P6/mmm (191)

Computed, not measured: an optimized crystal structure of Ho2Si3Pt2 at the PBE level of DFT.

```
Ho2Si3Pt2
1.0
2.069 -8.803 0.000
2.069 8.803 0.000
0.000 0.000 6.905
Ho Si Pt
4 6 4
Direct
0.055 0.945 0.750
0.153 0.847 0.250
0.847 0.153 0.750
0.945 0.055 0.250
0.226 0.774 0.750
0.440 0.560 0.572
0.440 0.560 0.928
0.560 0.440 0.072
0.560 0.440 0.428
0.774 0.226 0.250
0.310 0.690 0.046
0.310 0.690 0.454
0.690 0.310 0.546
0.690 0.310 0.954
```

E in eV per atom: -6.38
Space group: Cmcm (63)

Computed, not measured: an optimized crystal structure of Ho2Si3Pt3 at the PBE level of DFT.

```
Ho2Si3Pt3
1.0
2.843 0.000 0.000
0.000 2.843 0.000
0.000 0.000 20.348
Ho Si Pt
2 3 3
Direct
0.000 0.000 0.247
0.000 0.000 0.753
0.000 0.000 0.000
0.000 0.000 0.385
0.000 0.000 0.615
0.000 0.000 0.114
0.000 0.000 0.500
0.000 0.000 0.886
```

E in eV per atom: -5.09
Space group: P4/mmm (123)

Computed, not measured: an optimized crystal structure of Ho2SiPt at the PBE level of DFT.

```
Ho2SiPt
1.0
5.740 0.000 0.000
0.000 4.228 0.000
-2.739 0.000 7.316
Ho Si Pt
4 2 2
Direct
0.215 0.250 0.439
0.220 0.250 0.916
0.780 0.750 0.084
0.785 0.750 0.561
0.335 0.750 0.209
0.665 0.250 0.791
0.357 0.750 0.713
0.643 0.250 0.287
```

E in eV per atom: -6.20
Space group: P2_1/m (11)

Computed, not measured: an optimized crystal structure of Ho3Si3Pt at the PBE level of DFT.

```
Ho3Si3Pt
1.0
5.194 -2.128 0.000
5.194 2.128 0.000
-4.716 0.000 12.784
Ho Si Pt
6 6 2
Direct
0.030 0.030 0.376
0.104 0.104 0.924
0.244 0.244 0.225
0.756 0.756 0.775
0.896 0.896 0.076
0.970 0.970 0.624
0.371 0.371 0.460
0.388 0.388 0.926
0.463 0.463 0.771
0.537 0.537 0.229
0.612 0.612 0.074
0.629 0.629 0.540
0.250 0.250 0.607
0.750 0.750 0.393
```

E in eV per atom: -6.14
Space group: C2/m (12)

Computed, not measured: an optimized crystal structure of Ho2Si5Pt3 at the PBE level of DFT.

```
Ho2Si5Pt3
1.0
5.830 -5.672 0.000
5.830 5.672 0.000
-3.107 0.000 5.174
Ho Si Pt
4 10 6
Direct
0.100 0.358 0.228
0.358 0.100 0.728
0.642 0.900 0.272
0.900 0.642 0.772
0.000 0.000 0.250
0.000 0.000 0.750
0.236 0.462 0.849
0.272 0.728 0.250
0.272 0.728 0.750
0.462 0.236 0.349
0.538 0.764 0.651
0.728 0.272 0.250
0.728 0.272 0.750
0.764 0.538 0.151
0.023 0.749 0.386
0.251 0.977 0.114
0.500 0.500 0.250
0.500 0.500 0.750
0.749 0.023 0.886
0.977 0.251 0.614
```

E in eV per atom: -6.40
Space group: C2/c (15)

Computed, not measured: an optimized crystal structure of HoSi4Pt6 at the PBE level of DFT.

```
HoSi4Pt6
1.0
-3.348 3.348 4.280
3.348 -3.348 4.280
3.348 3.348 -4.280
Ho Si Pt
1 4 6
Direct
0.000 0.000 0.000
0.146 0.558 0.000
0.442 0.442 0.588
0.558 0.146 0.000
0.854 0.854 0.412
0.000 0.500 0.500
0.212 0.212 0.696
0.485 0.788 0.000
0.500 0.000 0.500
0.515 0.515 0.304
0.788 0.485 0.000
```

E in eV per atom: -6.40
Space group: I-42m (121)

Computed, not measured: an optimized crystal structure of HoSiPt at the PBE level of DFT.

```
HoSiPt
1.0
-2.142 10.510 3.717
2.142 -10.510 3.717
2.142 10.510 -3.717
Ho Si Pt
6 6 6
Direct
0.000 0.000 0.000
0.262 0.095 0.166
0.335 0.003 0.332
0.592 0.092 0.500
0.672 0.003 0.668
0.929 0.095 0.834
0.116 0.388 0.729
0.145 0.707 0.438
0.269 0.707 0.562
0.610 0.708 0.902
0.659 0.388 0.271
0.806 0.708 0.098
0.306 0.378 0.928
0.451 0.378 0.072
0.480 0.716 0.765
0.778 0.382 0.396
0.951 0.716 0.235
0.986 0.382 0.604
```

E in eV per atom: -6.56
Space group: Imm2 (44)

Computed, not measured: an optimized crystal structure of HoSi4Pt12 at the PBE level of DFT.

```
HoSi4Pt12
1.0
-4.197 4.197 4.197
4.197 -4.197 4.197
4.197 4.197 -4.197
Ho Si Pt
1 4 12
Direct
0.000 0.000 0.000
0.000 0.000 0.500
0.000 0.500 0.000
0.500 0.000 0.000
0.500 0.500 0.500
0.161 0.500 0.339
0.161 0.822 0.661
0.178 0.339 0.839
0.339 0.161 0.500
0.339 0.839 0.178
0.500 0.339 0.161
0.500 0.661 0.839
0.661 0.161 0.822
0.661 0.839 0.500
0.822 0.661 0.161
0.839 0.178 0.339
0.839 0.500 0.661
```

E in eV per atom: -6.28
Space group: Im-3 (204)

Computed, not measured: an optimized crystal structure of Ho4Si3Pt at the PBE level of DFT.

```
Ho4Si3Pt
1.0
3.904 0.000 0.000
0.000 4.183 0.000
0.000 0.000 10.670
Ho Si Pt
4 3 1
Direct
0.000 0.000 0.000
0.000 0.500 0.496
0.500 0.000 0.279
0.500 0.500 0.780
0.000 0.000 0.708
0.000 0.500 0.218
0.500 0.000 0.563
0.500 0.500 0.057
```

E in eV per atom: -6.00
Space group: Pmm2 (25)

Computed, not measured: an optimized crystal structure of HoSi3Pt3 at the PBE level of DFT.

```
HoSi3Pt3
1.0
6.589 0.000 0.000
0.000 6.589 0.000
0.000 0.000 6.589
Ho Si Pt
2 6 6
Direct
0.000 0.000 0.000
0.500 0.500 0.500
0.000 0.250 0.500
0.000 0.750 0.500
0.250 0.500 0.000
0.500 0.000 0.250
0.500 0.000 0.750
0.750 0.500 0.000
0.000 0.500 0.250
0.000 0.500 0.750
0.250 0.000 0.500
0.500 0.250 0.000
0.500 0.750 0.000
0.750 0.000 0.500
```

E in eV per atom: -6.15
Space group: Pm-3n (223)

Computed, not measured: an optimized crystal structure of Ho3Si4Pt7 at the PBE level of DFT.

```
Ho3Si4Pt7
1.0
7.724 -2.012 0.000
7.724 2.012 0.000
-5.377 0.000 7.714
Ho Si Pt
3 4 7
Direct
0.000 0.000 0.000
0.328 0.328 0.331
0.672 0.672 0.669
0.111 0.111 0.825
0.331 0.331 0.728
0.669 0.669 0.272
0.889 0.889 0.175
0.000 0.000 0.500
0.169 0.169 0.419
0.305 0.305 0.957
0.492 0.492 0.734
0.508 0.508 0.266
0.695 0.695 0.043
0.831 0.831 0.581
```

E in eV per atom: -6.67
Space group: C2/m (12)

Computed, not measured: an optimized crystal structure of Ho2Si3Pt9 at the PBE level of DFT.

```
Ho2Si3Pt9
1.0
6.635 -3.842 0.000
6.635 3.842 0.000
-4.468 0.000 8.967
Ho Si Pt
4 6 18
Direct
0.084 0.255 0.251
0.255 0.084 0.751
0.745 0.916 0.249
0.916 0.745 0.749
0.000 0.500 0.000
0.142 0.680 0.502
0.320 0.858 0.998
0.500 0.000 0.500
0.680 0.142 0.002
0.858 0.320 0.498
0.018 0.861 0.074
0.139 0.982 0.426
0.190 0.359 0.575
0.196 0.585 0.256
0.301 0.479 0.932
0.358 0.642 0.750
0.359 0.190 0.075
0.415 0.804 0.244
0.479 0.301 0.432
0.521 0.699 0.568
0.585 0.196 0.756
0.641 0.810 0.925
0.642 0.358 0.250
0.699 0.521 0.068
0.804 0.415 0.744
0.810 0.641 0.425
0.861 0.018 0.574
0.982 0.139 0.926
```

E in eV per atom: -6.66
Space group: C2/c (15)

Computed, not measured: an optimized crystal structure of Ho2Si3Pt5 at the PBE level of DFT.

```
Ho2Si3Pt5
1.0
2.098 -12.033 0.000
2.098 12.033 0.000
0.000 0.000 6.733
Ho Si Pt
4 6 10
Direct
0.027 0.973 0.500
0.327 0.673 0.460
0.673 0.327 0.960
0.973 0.027 0.000
0.123 0.877 0.253
0.272 0.728 0.906
0.452 0.548 0.299
0.548 0.452 0.799
0.728 0.272 0.406
0.877 0.123 0.753
0.092 0.908 0.896
0.195 0.805 0.638
0.225 0.775 0.217
0.373 0.627 0.975
0.451 0.549 0.668
0.549 0.451 0.168
0.627 0.373 0.475
0.775 0.225 0.717
0.805 0.195 0.138
0.908 0.092 0.396
```

E in eV per atom: -6.59
Space group: Cmc2_1 (36)

Computed, not measured: an optimized crystal structure of Ho3Si6Pt20 at the PBE level of DFT.

```
Ho3Si6Pt20
1.0
0.000 6.179 6.179
6.179 0.000 6.179
6.179 6.179 0.000
Ho Si Pt
3 6 20
Direct
0.000 0.000 0.000
0.250 0.250 0.250
0.750 0.750 0.750
0.268 0.268 0.732
0.268 0.732 0.268
0.268 0.732 0.732
0.732 0.268 0.268
0.732 0.268 0.732
0.732 0.732 0.268
0.000 0.000 0.345
0.000 0.000 0.655
0.000 0.345 0.000
0.000 0.345 0.655
0.000 0.655 0.000
0.000 0.655 0.345
0.150 0.617 0.617
0.345 0.000 0.000
0.345 0.000 0.655
0.345 0.655 0.000
0.383 0.383 0.383
0.383 0.383 0.850
0.383 0.850 0.383
0.617 0.150 0.617
0.617 0.617 0.150
0.617 0.617 0.617
0.655 0.000 0.000
0.655 0.000 0.345
0.655 0.345 0.000
0.850 0.383 0.383
```

E in eV per atom: -6.58
Space group: Fm-3m (225)

Computed, not measured: an optimized crystal structure of Ho3SiPt2 at the PBE level of DFT.

```
Ho3SiPt2
1.0
11.512 0.000 0.000
0.000 4.087 0.000
0.000 0.000 11.534
Ho Si Pt
12 4 8
Direct
0.054 0.250 0.120
0.119 0.750 0.561
0.199 0.250 0.810
0.301 0.750 0.310
0.381 0.250 0.061
0.446 0.750 0.620
0.554 0.250 0.380
0.619 0.750 0.939
0.699 0.250 0.690
0.801 0.750 0.190
0.881 0.250 0.439
0.946 0.750 0.880
0.126 0.250 0.369
0.374 0.750 0.869
0.626 0.250 0.131
0.874 0.750 0.631
0.020 0.750 0.309
0.186 0.750 0.989
0.314 0.250 0.489
0.480 0.250 0.809
0.520 0.750 0.191
0.686 0.750 0.511
0.814 0.250 0.011
0.980 0.250 0.691
```

E in eV per atom: -6.25
Space group: Pnma (62)